Compound: Fe3O2F4
Source: Alexandria
Functional: GGA+U
Structure: optimized geometry

abc: 4.7396 5.7338 7.8285
angles: 86.07 88.61 89.41
Closest atoms and distances in Å follow each position.
Fractional coordinates of all 18 atoms:
Fe  0.0000  0.0000  0.0000  2 O 2.09-2.12, 4 F 2.12-2.17
Fe  0.0122  0.3098  0.6360  2 O 1.96-2.06, 4 F 2.12-2.17
Fe  0.4664  0.8540  0.6742  2 O 1.89, 2 F 2.00-2.08
Fe  0.4974  0.4913  0.9843  2 O 1.96, 4 F 2.00-2.10
Fe  0.5168  0.1681  0.3250  3 O 1.92-1.95, 1 F 2.10
Fe  0.9774  0.6400  0.3330  1 O 1.86, 4 F 1.95-2.02
O  0.3097  0.7797  0.8948  2 Fe 1.89-1.96
O  0.3264  0.1222  0.5488  3 Fe 1.89-1.96
O  0.6763  0.2111  0.0937  3 Fe 1.95-2.09
O  0.7956  0.3658  0.4121  3 Fe 1.86-2.06
F  0.2030  0.2999  0.8824  3 Fe 2.00-2.15
F  0.2050  0.9453  0.2443  3 Fe 2.10-2.17
F  0.2126  0.6350  0.5448  3 Fe 2.02-2.17
F  0.2804  0.4716  0.2130  3 Fe 1.98-2.20
F  0.7085  0.5286  0.7560  3 Fe 2.03-2.24
F  0.7116  0.8488  0.4416  2 Fe 1.95-2.14
F  0.7853  0.6933  0.1089  3 Fe 2.00-2.15
F  0.8029  0.0163  0.7564  3 Fe 2.00-2.14

## Properties
Calculated total energy, eV per atom: -5.794
V, Å³/cell: 212
Energy relative to the lowest polymorph listed for this composition, meV/atom: 54.9
Crystal system: triclinic